An optimized crystal structure of Li2TlCrF8, computed with GGA+U.

Unit cell a=4.740 b=6.642 c=4.746 alpha=90.00 beta=90.76 gamma=90.00
Element x y z (fractional)
Li 0.000 0.222 0.000
Li 0.000 0.778 0.000
Tl 0.500 0.500 0.500
Cr 0.500 0.000 0.500
F 0.187 0.500 0.185
F 0.212 0.000 0.209
F 0.302 0.220 0.695
F 0.302 0.780 0.695
F 0.698 0.220 0.305
F 0.698 0.780 0.305
F 0.788 0.000 0.791
F 0.813 0.500 0.815

Output
Uncorrected energy ... -4.8939 eV/atom
Calculated volume ... 149.4 Å³ per cell
Total magnetic moment ... 3.0 Bohr magnetons per cell